Entry from Alexandria via LeMat-Bulk: a relaxed structure of YRhSeN2 (PBE).

Cell and atoms, written as POSCAR:
```
YRhSeN2
1.0
-0.570 -0.977 -3.824
1.549 -3.610 0.691
-4.549 -1.737 1.122
Y Rh Se N
1 1 1 2
direct
0.500 0.500 0.500 Y
0.000 0.000 0.000 Rh
0.000 0.000 0.500 Se
0.000 0.500 0.000 N
0.500 0.000 0.000 N
```

Summary:
Distance to the lowest polymorph of the same formula: 0 meV/atom
V: 15.89 A^3/atom
Electronic total energy: -32.9 eV/cell
Uncorrected formation energy: 0.206 eV/atom